[1]
This record from Alexandria via LeMat-Bulk describes a relaxed structure of Hf2TlPd9. The functional is PBE.

The structure belongs to space group P4/mmm (No. 123); the cell edges are 4.030, 4.030 and 12.166 Å and the angles 90.00°, 90.00° and 90.00°. The asymmetric unit holds Hf at (0.000, 0.000, 0.167), Tl at (0.000, 0.000, 0.500), Pd at (0.000, 0.500, 0.000), Pd at (0.000, 0.500, 0.324), Pd at (0.500, 0.500, 0.163) and Pd at (0.500, 0.500, 0.500).

As for the calculated density: 12.766 g/cm3. Its formation energy is -8.2 eV per formula unit. Its calculated total energy is -0.23652 hartree per atom. The density of states at the Fermi level comes out at 4.09 states/eV/f.u. The value obtained for the volume is 16.47 Å³ per atom.

***

[2]
This record from Alexandria via LeMat-Bulk describes a relaxed structure of CsKZrF6. The functional is PBE.

The structure belongs to space group P-31c (No. 163); the cell edges are 6.6277, 6.6277 and 10.9164 Å and the angles 90.00°, 90.00° and 120.00°. The asymmetric unit holds Cs at (0.0000, 0.0000, 0.0000), K at (0.3333, 0.6667, 0.2500), Zr at (0.3333, 0.6667, 0.7500) and F at (0.0702, 0.4168, 0.6457).

As for the calculated density: 3.017 g/cm3. Its calculated total energy is -0.21345 hartree per atom. The density of states at the Fermi level comes out at 0.00 states/eV/f.u. For the formation energy (no corrections), the calculation gives -3394 meV per atom. The value obtained for the volume is 23.07 Å³ per atom.

***

[3]
This record from Alexandria via LeMat-Bulk describes a relaxed structure of Ba2CdPd. The functional is PBE.

The structure belongs to space group R3m (No. 160, hexagonal axes); the cell edges are 4.6372, 4.6372 and 25.7378 Å and the angles 90.00°, 90.00° and 120.00°. The asymmetric unit holds Ba at (0.0000, 0.0000, 0.0000), Ba at (0.0000, 0.0000, 0.1961), Cd at (0.0000, 0.0000, 0.4328) and Pd at (0.0000, 0.0000, 0.5968).

As for the calculated density: 5.129 g/cm3. Its formation energy is -1.3 eV per formula unit. Its calculated total energy is -0.10378 hartree per atom. The density of states at the Fermi level comes out at 2.22 states/eV/f.u. The value obtained for the volume is 39.94 Å³ per atom.

***

Sequential total moment output: 0.0; 0.0; 0.0 μB/f.u.